Entry 1:
NiRuI2O: optimized geometry, PBE+U.

Geometry as CIF:
```
data_NiRuI2O
_symmetry_space_group_name_H-M 'P 1'
_symmetry_Int_Tables_number 1
_cell_length_a 5.471
_cell_length_b 5.471
_cell_length_c 3.707
_cell_angle_alpha 90.00
_cell_angle_beta 90.00
_cell_angle_gamma 90.00
loop_
_symmetry_equiv_pos_as_xyz
'x,y,z'
loop_
_atom_site_label
_atom_site_type_symbol
_atom_site_fract_x
_atom_site_fract_y
_atom_site_fract_z
Ni1 Ni 0.000 0.000 0.000
Ru1 Ru 0.500 0.500 0.500
I1 I 0.000 0.500 0.500
I2 I 0.500 0.000 0.500
O1 O 0.500 0.500 0.000
```

Values from the calculation:
For the energy relative to the lowest polymorph listed for this composition, the calculation gives 0.00 eV/f.u.

***

Entry 2:
NiRuIO2: optimized geometry, PBE+U.

Geometry as CIF:
```
data_NiRuIO2
_symmetry_space_group_name_H-M 'P 1'
_symmetry_Int_Tables_number 1
_cell_length_a 3.747
_cell_length_b 3.747
_cell_length_c 7.266
_cell_angle_alpha 90.00
_cell_angle_beta 90.00
_cell_angle_gamma 90.00
loop_
_symmetry_equiv_pos_as_xyz
'x,y,z'
loop_
_atom_site_label
_atom_site_type_symbol
_atom_site_fract_x
_atom_site_fract_y
_atom_site_fract_z
Ni1 Ni 0.000 0.000 0.000
Ru1 Ru 0.500 0.500 0.500
I1 I 0.500 0.500 0.000
O1 O 0.000 0.500 0.500
O2 O 0.500 0.000 0.500
```

Values from the calculation:
For the energy relative to the lowest polymorph listed for this composition, the calculation gives 0.00 eV/f.u.

***

Entry 3:
NiRuI2O: optimized geometry, PBE+U.

Geometry as CIF:
```
data_NiRuI2O
_symmetry_space_group_name_H-M 'P 1'
_symmetry_Int_Tables_number 1
_cell_length_a 5.531
_cell_length_b 5.531
_cell_length_c 3.534
_cell_angle_alpha 90.00
_cell_angle_beta 90.00
_cell_angle_gamma 90.00
loop_
_symmetry_equiv_pos_as_xyz
'x,y,z'
loop_
_atom_site_label
_atom_site_type_symbol
_atom_site_fract_x
_atom_site_fract_y
_atom_site_fract_z
Ni1 Ni 0.000 0.000 0.000
Ru1 Ru 0.500 0.500 0.500
I1 I 0.000 0.500 0.000
I2 I 0.500 0.000 0.000
O1 O 0.000 0.000 0.500
```

Values from the calculation:
For the energy relative to the lowest polymorph listed for this composition, the calculation gives 0.94 eV/f.u.

***

Entry 4:
NiRuIO2: optimized geometry, PBE+U.

Geometry as CIF:
```
data_NiRuIO2
_symmetry_space_group_name_H-M 'P 1'
_symmetry_Int_Tables_number 1
_cell_length_a 3.831
_cell_length_b 3.831
_cell_length_c 5.758
_cell_angle_alpha 90.00
_cell_angle_beta 90.00
_cell_angle_gamma 90.00
loop_
_symmetry_equiv_pos_as_xyz
'x,y,z'
loop_
_atom_site_label
_atom_site_type_symbol
_atom_site_fract_x
_atom_site_fract_y
_atom_site_fract_z
Ni1 Ni 0.000 0.000 0.000
Ru1 Ru 0.500 0.500 0.500
I1 I 0.000 0.000 0.500
O1 O 0.000 0.500 0.000
O2 O 0.500 0.000 0.000
```

Values from the calculation:
For the energy relative to the lowest polymorph listed for this composition, the calculation gives 4.14 eV/f.u.

***

Entry 5:
NiSIO2: optimized geometry, PBE+U.

Geometry as CIF:
```
data_NiSIO2
_symmetry_space_group_name_H-M 'P 1'
_symmetry_Int_Tables_number 1
_cell_length_a 3.642
_cell_length_b 3.642
_cell_length_c 7.548
_cell_angle_alpha 90.00
_cell_angle_beta 90.00
_cell_angle_gamma 90.00
loop_
_symmetry_equiv_pos_as_xyz
'x,y,z'
loop_
_atom_site_label
_atom_site_type_symbol
_atom_site_fract_x
_atom_site_fract_y
_atom_site_fract_z
Ni1 Ni 0.000 0.000 0.000
S1 S 0.500 0.500 0.500
I1 I 0.500 0.500 0.000
O1 O 0.000 0.500 0.500
O2 O 0.500 0.000 0.500
```

Values from the calculation:
The calculation puts the total DFT energy (no corrections) at -3.391 eV/atom.

***

Entry 6:
NiSIO2: optimized geometry, PBE+U.

Geometry as CIF:
```
data_NiSIO2
_symmetry_space_group_name_H-M 'P 1'
_symmetry_Int_Tables_number 1
_cell_length_a 3.743
_cell_length_b 3.743
_cell_length_c 7.477
_cell_angle_alpha 90.00
_cell_angle_beta 90.00
_cell_angle_gamma 90.00
loop_
_symmetry_equiv_pos_as_xyz
'x,y,z'
loop_
_atom_site_label
_atom_site_type_symbol
_atom_site_fract_x
_atom_site_fract_y
_atom_site_fract_z
Ni1 Ni 0.000 0.000 0.000
S1 S 0.500 0.500 0.500
I1 I 0.000 0.000 0.500
O1 O 0.000 0.500 0.000
O2 O 0.500 0.000 0.000
```

Values from the calculation:
The calculation puts the total DFT energy (no corrections) at -3.259 eV/atom.

***

Entry 7:
NiS2IO: optimized geometry, PBE+U.

Geometry as CIF:
```
data_NiS2IO
_symmetry_space_group_name_H-M 'P 1'
_symmetry_Int_Tables_number 1
_cell_length_a 3.894
_cell_length_b 3.894
_cell_length_c 7.585
_cell_angle_alpha 90.00
_cell_angle_beta 90.00
_cell_angle_gamma 90.00
loop_
_symmetry_equiv_pos_as_xyz
'x,y,z'
loop_
_atom_site_label
_atom_site_type_symbol
_atom_site_fract_x
_atom_site_fract_y
_atom_site_fract_z
Ni1 Ni 0.000 0.000 0.000
S1 S 0.000 0.500 0.500
S2 S 0.500 0.000 0.500
I1 I 0.500 0.500 0.000
O1 O 0.500 0.500 0.500
```

Values from the calculation:
The calculation puts the total DFT energy (no corrections) at -2.799 eV/atom.

***

Entry 8:
NiSb2IO: optimized geometry, PBE+U.

Geometry as CIF:
```
data_NiSb2IO
_symmetry_space_group_name_H-M 'P 1'
_symmetry_Int_Tables_number 1
_cell_length_a 4.406
_cell_length_b 4.406
_cell_length_c 7.249
_cell_angle_alpha 90.00
_cell_angle_beta 90.00
_cell_angle_gamma 90.00
loop_
_symmetry_equiv_pos_as_xyz
'x,y,z'
loop_
_atom_site_label
_atom_site_type_symbol
_atom_site_fract_x
_atom_site_fract_y
_atom_site_fract_z
Ni1 Ni 0.000 0.000 0.000
Sb1 Sb 0.000 0.500 0.500
Sb2 Sb 0.500 0.000 0.500
I1 I 0.500 0.500 0.000
O1 O 0.500 0.500 0.500
```

Values from the calculation:
For the energy relative to the lowest polymorph listed for this composition, the calculation gives 0.51 eV/f.u.

***

Entry 9:
NiSb2IO: optimized geometry, PBE+U.

Geometry as CIF:
```
data_NiSb2IO
_symmetry_space_group_name_H-M 'P 1'
_symmetry_Int_Tables_number 1
_cell_length_a 5.414
_cell_length_b 5.414
_cell_length_c 3.670
_cell_angle_alpha 90.00
_cell_angle_beta 90.00
_cell_angle_gamma 90.00
loop_
_symmetry_equiv_pos_as_xyz
'x,y,z'
loop_
_atom_site_label
_atom_site_type_symbol
_atom_site_fract_x
_atom_site_fract_y
_atom_site_fract_z
Ni1 Ni 0.000 0.000 0.000
Sb1 Sb 0.000 0.500 0.000
Sb2 Sb 0.500 0.000 0.000
I1 I 0.500 0.500 0.500
O1 O 0.000 0.000 0.500
```

Values from the calculation:
For the energy relative to the lowest polymorph listed for this composition, the calculation gives 0.00 eV/f.u.

***

Entry 10:
NiSbIO2: optimized geometry, PBE+U.

Geometry as CIF:
```
data_NiSbIO2
_symmetry_space_group_name_H-M 'P 1'
_symmetry_Int_Tables_number 1
_cell_length_a 4.196
_cell_length_b 4.196
_cell_length_c 5.009
_cell_angle_alpha 90.00
_cell_angle_beta 90.00
_cell_angle_gamma 90.00
loop_
_symmetry_equiv_pos_as_xyz
'x,y,z'
loop_
_atom_site_label
_atom_site_type_symbol
_atom_site_fract_x
_atom_site_fract_y
_atom_site_fract_z
Ni1 Ni 0.000 0.000 0.000
Sb1 Sb 0.500 0.500 0.500
I1 I 0.000 0.000 0.500
O1 O 0.000 0.500 0.000
O2 O 0.500 0.000 0.000
```

Values from the calculation:
For the energy relative to the lowest polymorph listed for this composition, the calculation gives 2.99 eV/f.u.

***

Entry 11:
NiSb2IO: optimized geometry, PBE+U.

Geometry as CIF:
```
data_NiSb2IO
_symmetry_space_group_name_H-M 'P 1'
_symmetry_Int_Tables_number 1
_cell_length_a 4.899
_cell_length_b 4.899
_cell_length_c 5.001
_cell_angle_alpha 90.00
_cell_angle_beta 90.00
_cell_angle_gamma 90.00
loop_
_symmetry_equiv_pos_as_xyz
'x,y,z'
loop_
_atom_site_label
_atom_site_type_symbol
_atom_site_fract_x
_atom_site_fract_y
_atom_site_fract_z
Ni1 Ni 0.000 0.000 0.000
Sb1 Sb 0.000 0.500 0.000
Sb2 Sb 0.500 0.000 0.000
I1 I 0.000 0.000 0.500
O1 O 0.500 0.500 0.500
```

Values from the calculation:
For the energy relative to the lowest polymorph listed for this composition, the calculation gives 3.32 eV/f.u.

***

Entry 12:
NiSbIO2: optimized geometry, PBE+U.

Geometry as CIF:
```
data_NiSbIO2
_symmetry_space_group_name_H-M 'P 1'
_symmetry_Int_Tables_number 1
_cell_length_a 3.992
_cell_length_b 3.992
_cell_length_c 6.837
_cell_angle_alpha 90.00
_cell_angle_beta 90.00
_cell_angle_gamma 90.00
loop_
_symmetry_equiv_pos_as_xyz
'x,y,z'
loop_
_atom_site_label
_atom_site_type_symbol
_atom_site_fract_x
_atom_site_fract_y
_atom_site_fract_z
Ni1 Ni 0.000 0.000 0.000
Sb1 Sb 0.500 0.500 0.500
I1 I 0.500 0.500 0.000
O1 O 0.000 0.500 0.500
O2 O 0.500 0.000 0.500
```

Values from the calculation:
For the energy relative to the lowest polymorph listed for this composition, the calculation gives 0.00 eV/f.u.

***

Entry 13:
ScNiI2O: optimized geometry, PBE+U.

Geometry as CIF:
```
data_ScNiI2O
_symmetry_space_group_name_H-M 'P 1'
_symmetry_Int_Tables_number 1
_cell_length_a 5.882
_cell_length_b 5.882
_cell_length_c 3.877
_cell_angle_alpha 90.00
_cell_angle_beta 90.00
_cell_angle_gamma 90.00
loop_
_symmetry_equiv_pos_as_xyz
'x,y,z'
loop_
_atom_site_label
_atom_site_type_symbol
_atom_site_fract_x
_atom_site_fract_y
_atom_site_fract_z
Sc1 Sc 0.000 0.000 0.000
Ni1 Ni 0.500 0.500 0.500
I1 I 0.000 0.500 0.000
I2 I 0.500 0.000 0.000
O1 O 0.000 0.000 0.500
```

Values from the calculation:
For the energy relative to the lowest polymorph listed for this composition, the calculation gives 0.00 eV/f.u.

***

Entry 14:
ScNiI2O: optimized geometry, PBE+U.

Geometry as CIF:
```
data_ScNiI2O
_symmetry_space_group_name_H-M 'P 1'
_symmetry_Int_Tables_number 1
_cell_length_a 5.637
_cell_length_b 5.637
_cell_length_c 3.610
_cell_angle_alpha 90.00
_cell_angle_beta 90.00
_cell_angle_gamma 90.00
loop_
_symmetry_equiv_pos_as_xyz
'x,y,z'
loop_
_atom_site_label
_atom_site_type_symbol
_atom_site_fract_x
_atom_site_fract_y
_atom_site_fract_z
Sc1 Sc 0.000 0.000 0.000
Ni1 Ni 0.500 0.500 0.500
I1 I 0.000 0.500 0.500
I2 I 0.500 0.000 0.500
O1 O 0.500 0.500 0.000
```

Values from the calculation:
For the energy relative to the lowest polymorph listed for this composition, the calculation gives 3.16 eV/f.u.